# 1
Below is a relaxed structure of Sc5CoSn, with properties calculated at the PBE-GGA level.

extended XYZ file:
```
14
Lattice="-4.0167 1.5613 4.0606 1.4421 -1.1063 5.6353 3.3793 9.1279 3.7487" Properties=species:S:1:pos:R:3 pbc="T T T"
Sc -3.0378 3.7778 5.0365
Sc -0.4095 3.8962 3.1452
Sc 1.2141 5.6867 10.2995
Sn -0.2655 2.4230 5.8362
Sn 1.0702 7.1599 7.6085
Sc 1.8300 4.6538 5.9914
Sc 3.4075 7.4206 5.6332
Co 0.0000 0.0000 0.0000
Co 1.6896 4.5640 1.8744
Sc 3.8424 5.8052 8.4082
Sc -2.6029 2.1624 7.8115
Sc -1.8023 1.0392 3.5567
Sc -1.0254 4.9291 7.4533
Sc 2.6069 8.5437 9.8880
```

Results
Energy: -6.30 eV per atom
Spin magnetization: 0.00 Bohr magnetons per cell

=====

# 2
Below is a relaxed structure of Sc3Co2Sn3, with properties calculated at the PBE-GGA level.

extended XYZ file:
```
32
Lattice="5.5436 0.0000 0.0000 0.0000 8.0851 0.0000 0.0000 0.0000 14.0175" Properties=species:S:1:pos:R:3 pbc="T T T"
Sn 2.2055 5.5567 13.5122
Sc 2.2237 7.8448 5.4167
Co 4.7263 0.7194 1.5901
Sn 2.0587 5.5070 3.5044
Sn 4.9773 6.5709 6.5034
Sn 3.3382 2.5284 0.5054
Sn 2.2055 5.5567 7.5142
Co 1.9545 3.3231 8.5989
Sc 0.7512 1.3595 10.5132
Co 0.8174 7.3657 8.5989
Co 3.5892 4.7620 1.5901
Sn 0.5664 1.5142 13.5122
Co 4.7263 0.7194 5.4187
Sn 0.5664 1.5142 7.5142
Co 3.5892 4.7620 5.4187
Sn 4.9773 6.5709 0.5054
Co 1.9545 3.3231 12.4274
Sc 4.7924 6.7256 3.5044
Sc 4.9955 4.2829 12.4254
Sc 3.3199 0.2403 12.4254
Sc 4.9955 4.2829 8.6009
Sc 2.0206 5.4020 10.5132
Sn 3.3382 2.5284 6.5034
Sn 0.7132 1.4644 3.5044
Sn 4.8305 6.6207 10.5132
Sc 3.5231 2.6831 3.5044
Sc 0.5481 3.8022 1.5921
Co 0.8174 7.3657 12.4274
Sc 3.3199 0.2403 8.6009
Sc 2.2237 7.8448 1.5921
Sn 3.4850 2.5781 10.5132
Sc 0.5481 3.8022 5.4167
```

Results
Energy: -6.12 eV per atom
Spin magnetization: 0.00 Bohr magnetons per cell

=====

# 3
Below is a relaxed structure of ScCoSn, with properties calculated at the PBE-GGA level.

extended XYZ file:
```
3
Lattice="-1.3997 -0.9360 -2.6559 2.4050 -1.9401 -0.5837 -3.0035 -2.4735 4.3164" Properties=species:S:1:pos:R:3 pbc="T T T"
Sc -0.1812 -2.5076 -0.8824
Sn -1.6347 -4.7811 0.6849
Co -1.4302 -2.2369 1.5421
```

Results
Energy: -6.11 eV per atom
Spin magnetization: 0.19 Bohr magnetons per cell

=====

# 4
Below is a relaxed structure of Sc12CoSn6, with properties calculated at the PBE-GGA level.

extended XYZ file:
```
19
Lattice="8.0103 -0.0543 -0.0651 -1.2681 7.9095 -0.0651 -1.2681 -1.4774 7.7705" Properties=species:S:1:pos:R:3 pbc="T T T"
Sn -0.2915 4.6775 2.4220
Sc 0.4263 2.4941 4.2010
Sn 5.7656 1.7002 5.2183
Sc 3.5805 0.9805 3.2047
Sc 2.4007 3.9906 1.5373
Sc 5.4631 6.8295 5.2473
Sc 3.0734 2.3871 6.1030
Sc 5.0478 3.8836 3.4393
Sn 4.6677 2.3078 0.8470
Sc 1.8936 5.3972 4.4356
Sn 3.9006 6.4313 2.6053
Sc -0.4482 2.3648 0.3709
Sc 2.4054 0.3800 -0.0169
Sn 1.5735 -0.0536 5.0351
Sn 0.8064 4.0699 6.7933
Co 0.0000 0.0000 0.0000
Sc 3.0687 5.9977 7.6572
Sc 0.0110 -0.4518 2.3930
Sc 5.9223 4.0129 7.2694
```

Results
Energy: -5.95 eV per atom
Spin magnetization: 0.00 Bohr magnetons per cell